A geometry-optimized CaTb4Nd4 structure. Source: the Alexandria database, functional PBE.

As for the total energy: -4.340 eV per atom. The formation energy from the elements is 59 meV/atom. The magnetic moment is 0.000 μB/atom.

The structure belongs to space group P-1 (No. 2); the cell edges are 6.7510, 9.1608 and 10.6889 Å and the angles 105.54°, 100.17° and 96.70°. The asymmetric unit holds Ca at (0.0022, 0.2584, 0.2569), Tb at (0.0605, 0.3128, 0.9310), Tb at (0.2753, 0.0282, 0.0660), Tb at (0.3353, 0.5784, 0.2489), Tb at (0.4488, 0.6908, 0.5898), Nd at (0.1291, 0.3591, 0.6087), Nd at (0.2218, 0.9586, 0.3995), Nd at (0.3322, 0.0711, 0.7455) and Nd at (0.4037, 0.6520, 0.9482).